Record 1
VASP calculation (PBE) on crystalline Li3Nd2PuSe6 at its relaxed geometry.

Properties
The crystal system is monoclinic. The total energy is -5.77 eV per atom.

Unit cell a=7.2569 b=7.2569 c=6.9320 alpha=100.04 beta=100.04 gamma=119.98
With the nearest neighbours (Å) after each atom.
Sites, in units of the cell vectors:
Li (0.1646, 0.8354, 0.5000)  6 Se 2.86-2.93
Li (0.8354, 0.1646, 0.5000)  6 Se 2.86-2.93
Li (0.5000, 0.5000, 0.5000)  6 Se 2.87-2.92
Nd (0.3331, 0.6669, 0.0000)  6 Se 2.96
Nd (0.6669, 0.3331, 0.0000)  6 Se 2.96
Pu (0.0000, 0.0000, 0.0000)  6 Se 2.91-2.92
Se (0.9135, 0.5850, 0.7408)  3 Li 2.87-2.93, 1 Pu 2.92, 2 Nd 2.96
Se (0.7571, 0.7571, 0.2573)  3 Li 2.86-2.92, 1 Pu 2.91, 2 Nd 2.96
Se (0.0865, 0.4150, 0.2592)  3 Li 2.87-2.93, 1 Pu 2.92, 2 Nd 2.96
Se (0.5850, 0.9135, 0.7408)  3 Li 2.87-2.93, 1 Pu 2.92, 2 Nd 2.96
Se (0.2429, 0.2429, 0.7427)  3 Li 2.86-2.92, 1 Pu 2.91, 2 Nd 2.96
Se (0.4150, 0.0865, 0.2592)  3 Li 2.87-2.93, 1 Pu 2.92, 2 Nd 2.96

Record 2
VASP calculation (PBE) on crystalline HfScZnCd at its relaxed geometry.

Properties
The formation energy is -0.189 eV/atom. The crystal system is tetragonal. The total energy is -4.81 eV per atom. For the energy above the most stable polymorph in this dataset, the calculation gives 0 kJ/mol of formula units.

Unit cell a=3.2286 b=3.2286 c=7.6564 alpha=90.00 beta=90.00 gamma=90.00
With the nearest neighbours (Å) after each atom.
Sites, in units of the cell vectors:
Hf (0.5000, 0.5000, 0.3440)  4 Zn 2.87, 4 Cd 3.10
Sc (0.5000, 0.5000, 0.8007)  4 Zn 2.88, 4 Cd 3.07, 4 Sc 3.23
Zn (0.0000, 0.0000, 0.5704)  4 Hf 2.87, 4 Sc 2.88
Cd (0.0000, 0.0000, 0.0697)  4 Sc 3.07, 4 Hf 3.10, 4 Cd 3.23

Record 3
VASP calculation (PBE) on crystalline YTi2Pd2 at its relaxed geometry.

Properties
The formation energy is -0.449 eV/atom. The crystal system is tetragonal. The total energy is -6.98 eV per atom. For the energy above the most stable polymorph in this dataset, the calculation gives 0 kJ/mol of formula units.

Unit cell a=4.3803 b=4.3803 c=6.0785 alpha=68.88 beta=68.88 gamma=90.00
With the nearest neighbours (Å) after each atom.
Sites, in units of the cell vectors:
Y (0.0000, 0.0000, 0.0000)  8 Pd 3.36, 8 Ti 3.41
Pd (0.3754, 0.3754, 0.2492)  4 Ti 2.55, 1 Pd 2.61
Pd (0.6246, 0.6246, 0.7508)  4 Ti 2.55, 1 Pd 2.61
Ti (0.7500, 0.2500, 0.5000)  4 Pd 2.55
Ti (0.2500, 0.7500, 0.5000)  4 Pd 2.55

Record 4
VASP calculation (PBE) on crystalline BaVFe3 at its relaxed geometry.

Properties
The formation energy is 2.524 eV/atom. The crystal system is cubic. The total energy is -4.76 eV per atom. For the energy above the most stable polymorph in this dataset, the calculation gives 793 kJ/mol of formula units.

Unit cell a=4.8960 b=4.8960 c=4.8960 alpha=90.00 beta=90.00 gamma=90.00
With the nearest neighbours (Å) after each atom.
Sites, in units of the cell vectors:
Fe (0.0000, 0.5000, 0.0000)  2 Ba 2.45
Fe (0.0000, 0.0000, 0.5000)  2 Ba 2.45
Fe (0.5000, 0.0000, 0.0000)  2 Ba 2.45
Ba (0.0000, 0.0000, 0.0000)  6 Fe 2.45
V (0.5000, 0.5000, 0.5000)  12 Fe 3.46

Record 5
VASP calculation (PBE) on crystalline Mg2CdBi at its relaxed geometry.

Properties
The formation energy is -0.025 eV/atom. The crystal system is trigonal. The total energy is -2.02 eV per atom. For the energy above the most stable polymorph in this dataset, the calculation gives 29 kJ/mol of formula units.

Unit cell a=4.7521 b=4.7521 c=6.1664 alpha=67.34 beta=67.34 gamma=60.00
With the nearest neighbours (Å) after each atom.
Sites, in units of the cell vectors:
Mg (0.0690, 0.0690, 0.7931)  3 Cd 2.92, 3 Bi 3.09
Mg (0.2666, 0.2666, 0.2002)  3 Cd 3.02, 1 Mg 3.27, 3 Bi 3.31
Cd (0.6759, 0.6759, 0.9723)  6 Mg 2.92-3.02, 1 Bi 3.10
Bi (0.4885, 0.4885, 0.5344)  6 Mg 3.09-3.31, 1 Cd 3.10

Record 6
VASP calculation (PBE) on crystalline CdIr3F at its relaxed geometry.

Properties
The crystal system is cubic. The total energy is -4.71 eV per atom. For the energy above the most stable polymorph in this dataset, the calculation gives 0 kJ/mol of formula units.

Unit cell a=4.3222 b=4.3222 c=4.3222 alpha=90.00 beta=90.00 gamma=90.00
With the nearest neighbours (Å) after each atom.
Sites, in units of the cell vectors:
F (0.0000, 0.0000, 0.0000)  6 Ir 2.16
Ir (0.0000, 0.5000, 0.0000)  2 F 2.16
Ir (0.0000, 0.0000, 0.5000)  2 F 2.16
Ir (0.5000, 0.0000, 0.0000)  2 F 2.16
Cd (0.5000, 0.5000, 0.5000)  12 Ir 3.06

Record 7
VASP calculation (PBE) on crystalline UZnSb2 at its relaxed geometry.

Properties
The crystal system is trigonal. The total energy is -5.06 eV per atom.

Unit cell a=3.1559 b=3.1559 c=11.6221 alpha=82.20 beta=82.20 gamma=60.00
With the nearest neighbours (Å) after each atom.
Sites, in units of the cell vectors:
Sb (0.0873, 0.0873, 0.7381)  1 Zn 3.01, 6 Sb 3.16, 3 U 3.29
Sb (0.9127, 0.9127, 0.2619)  1 Zn 3.01, 6 Sb 3.16, 3 U 3.29
Zn (0.0000, 0.0000, 0.0000)  2 Sb 3.01, 6 Zn 3.16
U (0.5000, 0.5000, 0.5000)  6 U 3.16, 6 Sb 3.29

Record 8
VASP calculation (PBE) on crystalline TeOs2Cl at its relaxed geometry.

Properties
The crystal system is cubic. The total energy is -5.62 eV per atom. For the energy above the most stable polymorph in this dataset, the calculation gives 394 kJ/mol of formula units.

Unit cell a=4.5507 b=4.5507 c=4.5507 alpha=60.00 beta=60.00 gamma=60.00
With the nearest neighbours (Å) after each atom.
Sites, in units of the cell vectors:
Te (0.5000, 0.5000, 0.5000)  8 Os 2.79
Os (0.2500, 0.2500, 0.2500)  4 Te 2.79, 4 Cl 2.79
Os (0.7500, 0.7500, 0.7500)  4 Te 2.79, 4 Cl 2.79
Cl (0.0000, 0.0000, 0.0000)  8 Os 2.79

Record 9
VASP calculation (PBE) on crystalline Sr3Re at its relaxed geometry.

Properties
The formation energy is 0.745 eV/atom. The crystal system is orthorhombic. The total energy is -3.63 eV per atom. For the energy above the most stable polymorph in this dataset, the calculation gives 0 kJ/mol of formula units.

Unit cell a=6.6910 b=8.6232 c=10.0021 alpha=90.00 beta=90.00 gamma=90.00
With the nearest neighbours (Å) after each atom.
Sites, in units of the cell vectors:
Re (0.5539, 0.8650, 0.7500)  8 Sr 3.09-3.41
Re (0.0539, 0.6350, 0.2500)  8 Sr 3.09-3.41
Re (0.9461, 0.3650, 0.7500)  8 Sr 3.09-3.41
Re (0.4461, 0.1350, 0.2500)  8 Sr 3.09-3.41
Sr (0.1237, 0.0336, 0.7500)  2 Re 3.09-3.23
Sr (0.6237, 0.4664, 0.2500)  2 Re 3.09-3.23
Sr (0.3763, 0.5336, 0.7500)  2 Re 3.09-3.23
Sr (0.8763, 0.9664, 0.2500)  2 Re 3.09-3.23
Sr (0.6452, 0.1677, 0.9376)  3 Re 3.24-3.41
Sr (0.1452, 0.3323, 0.0624)  3 Re 3.24-3.41
Sr (0.8548, 0.6677, 0.5624)  3 Re 3.24-3.41
Sr (0.3548, 0.8323, 0.4376)  3 Re 3.24-3.41
Sr (0.3548, 0.8323, 0.0624)  3 Re 3.24-3.41
Sr (0.8548, 0.6677, 0.9376)  3 Re 3.24-3.41
Sr (0.1452, 0.3323, 0.4376)  3 Re 3.24-3.41
Sr (0.6452, 0.1677, 0.5624)  3 Re 3.24-3.41

Record 10
VASP calculation (PBE) on crystalline Mg2Ga3Pd4 at its relaxed geometry.

Properties
The formation energy is -0.621 eV/atom. The crystal system is orthorhombic. The total energy is -4.29 eV per atom. For the energy above the most stable polymorph in this dataset, the calculation gives 21 kJ/mol of formula units.

Unit cell a=5.5442 b=7.6625 c=7.6139 alpha=90.00 beta=111.35 gamma=90.00
With the nearest neighbours (Å) after each atom.
Sites, in units of the cell vectors:
Mg (0.1020, 0.5798, 0.2039)  8 Pd 2.92-3.26, 4 Ga 3.02-3.19, 1 Mg 3.14
Mg (0.8980, 0.4202, 0.7961)  8 Pd 2.92-3.26, 4 Ga 3.02-3.19, 1 Mg 3.14
Mg (0.3980, 0.0798, 0.7961)  8 Pd 2.92-3.26, 4 Ga 3.02-3.19, 1 Mg 3.14
Mg (0.6020, 0.9202, 0.2039)  8 Pd 2.92-3.26, 4 Ga 3.02-3.19, 1 Mg 3.14
Ga (0.0000, 0.0000, 0.0000)  6 Pd 2.49-2.58
Ga (0.5000, 0.5000, 0.0000)  6 Pd 2.49-2.58
Ga (0.5175, 0.7500, 0.5350)  5 Pd 2.53-2.60, 2 Ga 2.77
Ga (0.9825, 0.2500, 0.4650)  5 Pd 2.53-2.60, 2 Ga 2.77
Ga (0.4825, 0.2500, 0.4650)  5 Pd 2.53-2.60, 2 Ga 2.77
Ga (0.0175, 0.7500, 0.5350)  5 Pd 2.53-2.60, 2 Ga 2.77
Pd (0.6955, 0.7500, 0.8911)  3 Ga 2.49-2.53, 2 Pd 2.77
Pd (0.8045, 0.2500, 0.1089)  3 Ga 2.49-2.53, 2 Pd 2.77
Pd (0.3045, 0.2500, 0.1089)  3 Ga 2.49-2.53, 2 Pd 2.77
Pd (0.1955, 0.7500, 0.8911)  3 Ga 2.49-2.53, 2 Pd 2.77
Pd (0.1814, 0.9793, 0.3628)  5 Ga 2.55-2.60
Pd (0.8186, 0.0207, 0.6372)  5 Ga 2.55-2.60
Pd (0.3186, 0.4793, 0.6372)  5 Ga 2.55-2.60
Pd (0.6814, 0.5207, 0.3628)  5 Ga 2.55-2.60

Record 11
VASP calculation (PBE) on crystalline KCd2CuHg at its relaxed geometry.

Properties
The formation energy is -0.011 eV/atom. The crystal system is tetragonal. The total energy is -1.48 eV per atom.

Unit cell a=5.1772 b=5.1772 c=5.2362 alpha=90.00 beta=90.00 gamma=90.00
With the nearest neighbours (Å) after each atom.
Sites, in units of the cell vectors:
K (0.5000, 0.5000, 0.5000)  4 Hg 3.66, 8 Cd 3.68
Hg (0.0000, 0.0000, 0.5000)  2 Cu 2.62
Cu (0.0000, 0.0000, 0.0000)  4 Cd 2.59, 2 Hg 2.62
Cd (0.0000, 0.5000, 0.0000)  2 Cu 2.59
Cd (0.5000, 0.0000, 0.0000)  2 Cu 2.59

Record 12
VASP calculation (PBE) on crystalline La2CdIr at its relaxed geometry.

Properties
The formation energy is -0.531 eV/atom. The crystal system is trigonal. The total energy is -5.44 eV per atom.

Unit cell a=4.1931 b=4.1931 c=8.5931 alpha=75.89 beta=75.89 gamma=59.92
With the nearest neighbours (Å) after each atom.
Sites, in units of the cell vectors:
Cd (0.7500, 0.7500, 0.7500)  6 La 3.51-3.52
Ir (0.2500, 0.2500, 0.2500)  6 La 2.89
La (0.9804, 0.9804, 0.0591)  3 Ir 2.89
La (0.5196, 0.5196, 0.4409)  3 Ir 2.89

Record 13
VASP calculation (PBE) on crystalline In2IrBr at its relaxed geometry.

Properties
The crystal system is tetragonal. The total energy is -4.01 eV per atom. For the energy above the most stable polymorph in this dataset, the calculation gives 41 kJ/mol of formula units.

Unit cell a=3.2843 b=3.2843 c=8.0174 alpha=90.00 beta=90.00 gamma=90.00
With the nearest neighbours (Å) after each atom.
Sites, in units of the cell vectors:
Ir (0.5000, 0.5000, 0.2500)  8 In 2.86
Br (0.5000, 0.5000, 0.7500)  4 Br 3.28, 8 In 3.30
In (0.0000, 0.0000, 0.0418)  4 Ir 2.86
In (0.0000, 0.0000, 0.4582)  4 Ir 2.86

Record 14
VASP calculation (PBE) on crystalline Zr2ScAu at its relaxed geometry.

Properties
The formation energy is -0.331 eV/atom. The crystal system is orthorhombic. The total energy is -7.01 eV per atom.

Unit cell a=5.8374 b=5.8374 c=4.6198 alpha=66.70 beta=66.70 gamma=36.32
With the nearest neighbours (Å) after each atom.
Sites, in units of the cell vectors:
Sc (0.7500, 0.7500, 0.7500)  4 Au 2.94, 4 Zr 3.20
Au (0.2500, 0.2500, 0.2500)  4 Sc 2.94, 4 Zr 3.02
Zr (0.9890, 0.9890, 0.0110)  4 Zr 2.95, 2 Au 3.02, 2 Sc 3.20
Zr (0.5110, 0.5110, 0.4890)  4 Zr 2.95, 2 Au 3.02, 2 Sc 3.20

Record 15
VASP calculation (PBE) on crystalline KZrW2 at its relaxed geometry.

Properties
The formation energy is 1.517 eV/atom. The crystal system is tetragonal. The total energy is -7.37 eV per atom. For the energy above the most stable polymorph in this dataset, the calculation gives 322 kJ/mol of formula units.

Unit cell a=5.7961 b=5.7961 c=5.7961 alpha=140.08 beta=140.08 gamma=57.73
With the nearest neighbours (Å) after each atom.
Sites, in units of the cell vectors:
K (0.7500, 0.2500, 0.5000)  4 Zr 2.80
W (0.0000, 0.0000, 0.0000)  4 W 2.80
W (0.5000, 0.5000, 0.0000)  4 W 2.80
Zr (0.2500, 0.7500, 0.5000)  4 K 2.80

Record 16
VASP calculation (PBE) on crystalline Y2TcPdAu at its relaxed geometry.

Properties
The formation energy is 0.652 eV/atom. The crystal system is tetragonal. The total energy is -5.70 eV per atom.

Unit cell a=5.4325 b=4.7716 c=5.4325 alpha=90.00 beta=90.00 gamma=90.00
With the nearest neighbours (Å) after each atom.
Sites, in units of the cell vectors:
Y (0.0000, 0.0000, 0.5000)  2 Au 2.72
Y (0.5000, 0.0000, 0.0000)  2 Au 2.72
Au (0.0000, 0.0000, 0.0000)  2 Tc 2.39
Tc (0.0000, 0.5000, 0.0000)  2 Au 2.39
Pd (0.5000, 0.5000, 0.5000)  8 Y 3.62, 4 Tc 3.84

Record 17
VASP calculation (PBE) on crystalline CoPbCl2 at its relaxed geometry.

Properties
The crystal system is orthorhombic. The total energy is -3.86 eV per atom. For the energy above the most stable polymorph in this dataset, the calculation gives 63 kJ/mol of formula units.

Unit cell a=3.5858 b=3.5858 c=8.7724 alpha=90.00 beta=90.00 gamma=123.43
With the nearest neighbours (Å) after each atom.
Sites, in units of the cell vectors:
Pb (0.5000, 0.5000, 0.7500)  4 Cl 3.25, 6 Pb 3.40-3.59
Co (0.5000, 0.5000, 0.2500)  4 Cl 2.35
Cl (0.0000, 0.0000, 0.0656)  2 Co 2.35
Cl (0.0000, 0.0000, 0.4344)  2 Co 2.35

Record 18
VASP calculation (PBE) on crystalline TbErInAu at its relaxed geometry.

Properties
The formation energy is -0.615 eV/atom. The crystal system is cubic. The total energy is -4.42 eV per atom. For the energy above the most stable polymorph in this dataset, the calculation gives 22 kJ/mol of formula units.

Unit cell a=5.2124 b=5.2124 c=5.2124 alpha=60.00 beta=60.00 gamma=60.00
With the nearest neighbours (Å) after each atom.
Sites, in units of the cell vectors:
Tb (0.7500, 0.7500, 0.7500)  4 In 3.19, 4 Au 3.19
In (0.5000, 0.5000, 0.5000)  4 Tb 3.19, 4 Er 3.19
Au (0.0000, 0.0000, 0.0000)  4 Tb 3.19, 4 Er 3.19
Er (0.2500, 0.2500, 0.2500)  4 In 3.19, 4 Au 3.19

Record 19
VASP calculation (PBE) on crystalline Mg11Sc at its relaxed geometry.

Properties
The formation energy is 0.107 eV/atom. The crystal system is tetragonal. The total energy is -1.88 eV per atom.

Unit cell a=7.8323 b=9.4013 c=9.4013 alpha=80.01 beta=65.38 gamma=65.38
With the nearest neighbours (Å) after each atom.
Sites, in units of the cell vectors:
Mg (0.4277, 0.8244, 0.4177)  8 Mg 2.93-3.27
Mg (0.6698, 0.1756, 0.5823)  8 Mg 2.93-3.27
Mg (0.0000, 0.0000, 0.0000)  12 Mg 3.18-3.27
Mg (0.7500, 0.5000, 0.5000)  12 Mg 3.18-3.27
Mg (0.3750, 0.7500, 0.7500)  10 Mg 2.97-3.18
Mg (0.8750, 0.7500, 0.2500)  10 Mg 2.97-3.18
Mg (0.8750, 0.2500, 0.7500)  10 Mg 2.97-3.18
Mg (0.8750, 0.2500, 0.2500)  10 Mg 2.97-3.18
Mg (0.4277, 0.4177, 0.8244)  8 Mg 2.93-3.27
Mg (0.0021, 0.6756, 0.9177)  8 Mg 2.93-3.27
Mg (0.5954, 0.3244, 0.0823)  8 Mg 2.93-3.27
Mg (0.6698, 0.5823, 0.1756)  8 Mg 2.93-3.27
Mg (0.7479, 0.5823, 0.8244)  8 Mg 2.93-3.27
Mg (0.1546, 0.4177, 0.1756)  8 Mg 2.93-3.27
Mg (0.0802, 0.3244, 0.9177)  8 Mg 2.93-3.27
Mg (0.3223, 0.6756, 0.0823)  8 Mg 2.93-3.27
Mg (0.3223, 0.0823, 0.6756)  8 Mg 2.93-3.27
Mg (0.7479, 0.8244, 0.5823)  8 Mg 2.93-3.27
Mg (0.1546, 0.1756, 0.4177)  8 Mg 2.93-3.27
Mg (0.0802, 0.9177, 0.3244)  8 Mg 2.93-3.27
Mg (0.0021, 0.9177, 0.6756)  8 Mg 2.93-3.27
Mg (0.5954, 0.0823, 0.3244)  8 Mg 2.93-3.27
Sc (0.5000, 0.0000, 0.0000)  18 Mg 3.70-3.92
Sc (0.2500, 0.5000, 0.5000)  18 Mg 3.70-3.92

Record 20
VASP calculation (PBE) on crystalline KCr8 at its relaxed geometry.

Properties
The formation energy is 0.931 eV/atom. The crystal system is tetragonal. The total energy is -7.74 eV per atom.

Unit cell a=5.9540 b=5.9540 c=5.9540 alpha=97.25 beta=97.25 gamma=138.38
With the nearest neighbours (Å) after each atom.
Sites, in units of the cell vectors:
K (0.0000, 0.0000, 0.0000)  12 Cr 2.85-3.14
Cr (0.2921, 0.7079, 0.0000)  4 Cr 2.31-2.36
Cr (0.7079, 0.2921, 0.0000)  4 Cr 2.31-2.36
Cr (0.0000, 0.3620, 0.3620)  3 Cr 2.17-2.36
Cr (0.7079, 0.7079, 0.4158)  4 Cr 2.31-2.36
Cr (0.3620, 0.0000, 0.3620)  3 Cr 2.17-2.36
Cr (0.2921, 0.2921, 0.5842)  4 Cr 2.31-2.36
Cr (0.0000, 0.6380, 0.6380)  3 Cr 2.17-2.36
Cr (0.6380, 0.0000, 0.6380)  3 Cr 2.17-2.36